No. 1
A plane-wave DFT calculation with GGA-PBE was carried out for Er4Au2N after structural relaxation.

```
Er4Au2N
1.0
4.661 0.000 0.000
0.000 4.661 0.000
0.000 0.000 14.524
Er Au N
8 4 2
Direct
0.000 0.000 0.173
0.000 0.000 0.827
0.000 0.500 0.000
0.000 0.500 0.500
0.500 0.000 0.000
0.500 0.000 0.500
0.500 0.500 0.327
0.500 0.500 0.673
0.000 0.000 0.368
0.000 0.000 0.632
0.500 0.500 0.132
0.500 0.500 0.868
0.000 0.000 0.000
0.500 0.500 0.500
```

ΔE_f (raw) in eV per atom: -0.943
Magnetic moment in Bohr magnetons per cell: 0.0

***

No. 2
A plane-wave DFT calculation with GGA-PBE was carried out for VCo2Os after structural relaxation.

```
VCo2Os
1.0
3.615 0.000 0.000
0.000 3.615 0.000
0.000 0.000 3.672
V Co Os
1 2 1
Direct
0.000 0.000 0.000
0.000 0.500 0.500
0.500 0.000 0.500
0.500 0.500 0.000
```

Calculated formation energy in meV/atom: -135.4
Magnetic moment in Bohr magnetons per cell: 0.0

***

No. 3
A plane-wave DFT calculation with GGA-PBE was carried out for BaOsSe2 after structural relaxation.

```
BaOsSe2
1.0
5.258 0.000 0.000
0.000 3.943 0.000
-1.149 0.000 5.187
Ba Os Se
1 1 2
Direct
0.000 0.000 0.000
0.500 0.000 0.500
0.323 0.500 0.683
0.677 0.500 0.317
```

ΔE_f (raw) in eV per atom: -0.472
Magnetic moment in Bohr magnetons per cell: 0.0

***

No. 4
A plane-wave DFT calculation with GGA-PBE was carried out for PmAl2AgPt2 after structural relaxation.

```
PmAl2AgPt2
1.0
4.408 0.000 0.000
-2.204 3.818 0.000
0.000 0.000 6.718
Pm Al Ag Pt
1 2 1 2
Direct
0.000 0.000 0.000
0.333 0.667 0.673
0.667 0.333 0.327
0.000 0.000 0.500
0.333 0.667 0.278
0.667 0.333 0.722
```

Calculated formation energy in meV/atom: -891.7
Magnetic moment in Bohr magnetons per cell: 0.0